MgMoW2 | PBE-GGA | optimized geometry

Lattice parameters (Å, degrees): 9.3444 2.6714 5.3130 90.00 92.94 90.00
With the nearest neighbours (Å) after each atom.
Space group Cm (No. 8)
Symmetry-distinct sites (fractional):
Mg: 0.0000 0.0000 0.0000  2 Mg 2.67, 3 Mo 2.73-2.93, 7 W 2.76-2.98
Mo: 0.2505 0.0000 0.7558  2 Mo 2.67, 3 Mg 2.73-2.93, 5 W 2.74-2.98
W: 0.2483 0.5000 0.2505  5 W 2.67-2.94, 3 Mg 2.76-2.94, 2 Mo 2.95
W: 0.4976 0.0000 0.5010  5 W 2.67-2.94, 3 Mo 2.74-2.98, 4 Mg 2.97-2.98

Volume (Å³ per cell): 132
DOS at the Fermi energy (states/eV/cell): 4.70
Formation energy from the elements (eV/atom): 0.44